Entry from OQMD: a geometry-optimized La2GdO4 structure (PBE-GGA).

Unit cell a=7.0883 b=7.0883 c=7.0883 alpha=60.00 beta=60.00 gamma=60.00
With the nearest neighbours (Å) after each atom.
Fractional positions:
La (0.0000, 0.0000, 0.0000)  6 O 2.50
La (0.0000, 0.0000, 0.5000)  6 O 2.50
La (0.0000, 0.5000, 0.0000)  6 O 2.50
La (0.5000, 0.0000, 0.0000)  6 O 2.50
Gd (0.3750, 0.3750, 0.3750)  4 O 2.19
Gd (0.6250, 0.6250, 0.6250)  4 O 2.19
O (0.2471, 0.7510, 0.7510)  1 Gd 2.19
O (0.2490, 0.2490, 0.2490)  1 Gd 2.19
O (0.2490, 0.2490, 0.7529)  1 Gd 2.19
O (0.2490, 0.7529, 0.2490)  1 Gd 2.19
O (0.7510, 0.2471, 0.7510)  1 Gd 2.19
O (0.7510, 0.7510, 0.2471)  1 Gd 2.19
O (0.7510, 0.7510, 0.7510)  1 Gd 2.19
O (0.7529, 0.2490, 0.2490)  1 Gd 2.19

Output
SG: Fd-3m
Total DFT energy (no corrections), eV per atom: -8.04

***

Entry from OQMD: a geometry-optimized HfZnCuB structure (PBE-GGA).

Unit cell a=4.2278 b=4.2278 c=4.2278 alpha=60.00 beta=60.00 gamma=60.00
With the nearest neighbours (Å) after each atom.
Fractional positions:
Hf (0.0000, 0.0000, 0.0000)  4 Zn 2.59, 4 B 2.59
Zn (0.7500, 0.7500, 0.7500)  4 Hf 2.59, 4 Cu 2.59
Cu (0.5000, 0.5000, 0.5000)  4 B 2.59, 4 Zn 2.59
B (0.2500, 0.2500, 0.2500)  4 Hf 2.59, 4 Cu 2.59

Output
Relative energy among the computed polymorphs, eV per formula unit: 0.000
SG: F-43m

***

Entry from OQMD: a geometry-optimized DyY2NiPd2Pb3 structure (PBE-GGA).

Unit cell a=3.8151 b=7.7866 c=7.7866 alpha=119.89 beta=90.00 gamma=90.00
With the nearest neighbours (Å) after each atom.
Fractional positions:
Dy (0.0000, 0.0000, 0.0000)  4 Pd 3.04, 1 Ni 3.11, 6 Pb 3.29-3.34
Y (0.0000, 0.3996, 0.7988)  4 Pd 3.06, 1 Ni 3.11, 6 Pb 3.28-3.33
Y (0.0000, 0.7988, 0.3996)  4 Pd 3.06, 1 Ni 3.11, 6 Pb 3.28-3.33
Ni (0.0000, 0.3991, 0.3991)  6 Pb 2.77
Pd (0.5000, 0.0662, 0.7346)  3 Pb 2.93-2.95, 2 Dy 3.04, 4 Y 3.06
Pd (0.5000, 0.7346, 0.0662)  3 Pb 2.93-2.95, 2 Dy 3.04, 4 Y 3.06
Pb (0.5000, 0.1422, 0.3999)  2 Ni 2.77, 2 Pd 2.93-2.95
Pb (0.5000, 0.3999, 0.1422)  2 Ni 2.77, 2 Pd 2.93-2.95
Pb (0.5000, 0.6570, 0.6570)  2 Ni 2.77, 2 Pd 2.93

Output
SG: Amm2
Total DFT energy (no corrections), eV per atom: -5.61

***

Number 1: total magnetization 0.05 μB/f.u.. Number 2: total magnetization 0.00 μB/f.u.. Number 3: total magnetization 0.00 μB/f.u..